Record 1
Crystalline La4InNi2 at its relaxed geometry. Source: Alexandria via LeMat-Bulk, functional GGA-PBE.

Cell: 9.418 9.418 9.418 Å, 31.17 31.17 31.17°
Atoms (fractional coordinates):
La1 0.112 0.112 0.112
La2 0.293 0.293 0.293
La3 0.707 0.707 0.707
La4 0.888 0.888 0.888
In1 0.500 0.500 0.500
Ni1 0.399 0.399 0.399
Ni2 0.601 0.601 0.601

Output
- energy above the most stable polymorph in this dataset (eV/atom) = 0.082
- magnetic moment (μB per formula unit) = 0.0
- formation enthalpy at 0 K (eV/atom) = -0.206

Record 2
Crystalline La2In11Ni15 at its relaxed geometry. Source: Alexandria via LeMat-Bulk, functional GGA-PBE.

Cell: 8.776 8.776 8.005 Å, 116.98 116.98 91.02°
Atoms (fractional coordinates):
La1 0.247 0.753 0.000
La2 0.753 0.247 0.000
In1 0.046 0.327 0.856
In2 0.158 0.426 0.461
In3 0.327 0.046 0.856
In4 0.426 0.158 0.461
In5 0.447 0.447 0.122
In6 0.537 0.537 0.862
In7 0.547 0.827 0.516
In8 0.679 0.943 0.128
In9 0.827 0.547 0.516
In10 0.943 0.679 0.128
In11 0.955 0.955 0.798
Ni1 0.041 0.041 0.224
Ni2 0.077 0.733 0.530
Ni3 0.232 0.232 0.152
Ni4 0.232 0.580 0.278
Ni5 0.247 0.247 0.666
Ni6 0.250 0.911 0.453
Ni7 0.406 0.747 0.706
Ni8 0.492 0.492 0.490
Ni9 0.580 0.232 0.278
Ni10 0.733 0.077 0.530
Ni11 0.734 0.734 0.311
Ni12 0.747 0.406 0.706
Ni13 0.752 0.752 0.825
Ni14 0.911 0.250 0.453
Ni15 0.992 0.992 0.489

Output
- magnetic moment (μB per formula unit) = 0.0
- formation enthalpy at 0 K (eV/atom) = -0.218

Record 3
Crystalline La2In6Ni at its relaxed geometry. Source: Alexandria via LeMat-Bulk, functional GGA-PBE.

Cell: 3.967 13.185 13.185 Å, 20.70 90.00 90.00°
Atoms (fractional coordinates):
La1 0.000 0.000 0.000
La2 0.000 0.327 0.327
In1 0.000 0.612 0.612
In2 0.000 0.732 0.732
In3 0.500 0.103 0.103
In4 0.500 0.215 0.215
In5 0.500 0.442 0.442
In6 0.500 0.876 0.876
Ni1 0.500 0.542 0.542

Output
- magnetic moment (μB per formula unit) = 0.0
- formation enthalpy at 0 K (eV/atom) = -0.278

> Which formula does entry 2 have?

La2In11Ni15

> What is the magnetic moment in the second record?

0.0 μB per formula unit

Please write out number 1 again, unchanged.
Crystalline La4InNi2 at its relaxed geometry. Source: Alexandria via LeMat-Bulk, functional GGA-PBE.

Cell: 9.418 9.418 9.418 Å, 31.17 31.17 31.17°
Atoms (fractional coordinates):
La1 0.112 0.112 0.112
La2 0.293 0.293 0.293
La3 0.707 0.707 0.707
La4 0.888 0.888 0.888
In1 0.500 0.500 0.500
Ni1 0.399 0.399 0.399
Ni2 0.601 0.601 0.601

Output
- energy above the most stable polymorph in this dataset (eV/atom) = 0.082
- magnetic moment (μB per formula unit) = 0.0
- formation enthalpy at 0 K (eV/atom) = -0.206

> Among the records above, which one has the lowest formation enthalpy at 0 K?

La2In6Ni